1.
{"formula": "PrHg2Pd", "functional": "PBE", "state": "optimized geometry", "lattice_angstrom": [[0.000, 3.586, 3.586], [3.586, 0.000, 3.586], [3.586, 3.586, 0.000]], "species": ["Pr", "Hg", "Hg", "Pd"], "frac_coords": [[0.000, 0.000, 0.000], [0.250, 0.250, 0.250], [0.750, 0.750, 0.750], [0.500, 0.500, 0.500]], "energy_ev_per_fu": -12.336}


2.
{"formula": "CoCu2HAu", "functional": "PBE", "state": "optimized geometry", "lattice_angstrom": [[3.907, 0.000, 0.000], [0.000, 3.907, 0.000], [0.000, 0.000, 3.598]], "species": ["Co", "Cu", "Cu", "H", "Au"], "frac_coords": [[0.000, 0.000, 0.000], [0.000, 0.500, 0.500], [0.500, 0.000, 0.500], [0.000, 0.000, 0.500], [0.500, 0.500, 0.000]], "energy_ev_per_fu": -21.346}


3.
{"formula": "NaNpIn2Cl6", "functional": "PBE", "state": "optimized geometry", "lattice_angstrom": [[6.565, -3.787, 0.000], [6.565, 3.787, 0.000], [-4.483, 0.000, 6.285]], "species": ["Na", "Np", "In", "In", "Cl", "Cl", "Cl", "Cl", "Cl", "Cl"], "frac_coords": [[0.000, 0.000, 0.000], [0.500, 0.500, 0.500], [0.256, 0.256, 0.790], [0.744, 0.744, 0.210], [0.189, 0.683, 0.192], [0.256, 0.256, 0.359], [0.317, 0.811, 0.808], [0.683, 0.189, 0.192], [0.744, 0.744, 0.641], [0.811, 0.317, 0.808]], "raw_formation_energy_ev_per_atom": -1.374}


4.
{"formula": "Li3P2Pd2", "functional": "PBE", "state": "optimized geometry", "lattice_angstrom": [[-1.766, 2.058, 7.760], [1.766, -2.058, 7.760], [1.766, 2.058, -7.760]], "species": ["Li", "Li", "Li", "P", "P", "Pd", "Pd"], "frac_coords": [[0.000, 0.000, 0.000], [0.312, 0.812, 0.500], [0.688, 0.188, 0.500], [0.433, 0.433, 0.000], [0.567, 0.567, 0.000], [0.137, 0.637, 0.500], [0.863, 0.363, 0.500]], "energy_ev_per_fu": -29.971}


5.
{"formula": "KNa2N6", "functional": "PBE", "state": "optimized geometry", "lattice_angstrom": [[6.796, 0.000, 0.000], [-3.398, 5.886, 0.000], [0.000, 0.000, 3.909]], "species": ["K", "Na", "Na", "N", "N", "N", "N", "N", "N"], "frac_coords": [[0.000, 0.000, 0.000], [0.333, 0.667, 0.500], [0.667, 0.333, 0.500], [0.000, 0.431, 0.095], [0.000, 0.569, 0.905], [0.431, 0.000, 0.095], [0.431, 0.431, 0.905], [0.569, 0.000, 0.905], [0.569, 0.569, 0.095]], "raw_formation_energy_ev_per_atom": 0.036}


6.
{"formula": "CaSc2Cl", "functional": "PBE", "state": "optimized geometry", "lattice_angstrom": [[3.489, 0.000, 0.000], [0.000, 4.922, 0.000], [0.000, 0.000, 6.359]], "species": ["Ca", "Sc", "Sc", "Cl"], "frac_coords": [[0.000, 0.000, 0.000], [0.000, 0.500, 0.500], [0.500, 0.000, 0.500], [0.500, 0.500, 0.000]], "raw_formation_energy_ev_per_atom": -0.258}


7.
{"formula": "InIr", "functional": "PBE", "state": "optimized geometry", "lattice_angstrom": [[1.535, 0.886, 4.335], [-1.535, 0.886, 4.335], [0.000, -1.772, 4.335]], "species": ["In", "Ir"], "frac_coords": [[0.000, 0.000, 0.000], [0.500, 0.500, 0.500]], "energy_ev_per_fu": -11.305}


8.
{"formula": "Rb3La2TlO6", "functional": "PBE", "state": "optimized geometry", "lattice_angstrom": [[3.182, -5.512, 0.000], [3.182, 5.512, 0.000], [-2.112, 0.000, 6.612]], "species": ["Rb", "Rb", "Rb", "La", "La", "Tl", "O", "O", "O", "O", "O", "O"], "frac_coords": [[0.000, 0.000, 0.000], [0.338, 0.662, 0.000], [0.662, 0.338, 0.000], [0.167, 0.833, 0.500], [0.833, 0.167, 0.500], [0.500, 0.500, 0.500], [0.108, 0.438, 0.314], [0.232, 0.232, 0.686], [0.438, 0.108, 0.314], [0.562, 0.892, 0.686], [0.768, 0.768, 0.314], [0.892, 0.562, 0.686]], "raw_formation_energy_ev_per_atom": -2.034}


| no. | spin magnetization (μB per cell) |
| --- | --- |
| 1 | 0.00 |
| 2 | 0.80 |
| 3 | 4.00 |
| 4 | 0.00 |
| 5 | 2.82 |
| 6 | 0.00 |
| 7 | 0.00 |
| 8 | 0.00 |